No. 1
Below is a geometry-optimized PaCd2ReO8 structure, with properties calculated at the PBE level.

Geometry as POSCAR:
```
PaCd2ReO8
1.0
5.062 0.000 0.000
0.000 6.677 0.000
-0.247 0.000 5.065
Pa Cd Re O
1 2 1 8
direct
0.000 0.000 0.000
0.500 0.259 0.500
0.500 0.741 0.500
0.000 0.500 0.000
0.175 0.285 0.826
0.175 0.715 0.826
0.267 0.500 0.268
0.288 0.000 0.289
0.712 0.000 0.711
0.733 0.500 0.732
0.825 0.285 0.174
0.825 0.715 0.174
```

space group	P2/m, No. 10
electronic total energy	-7.25	eV/atom
crystal system	monoclinic
uncorrected formation energy	-1.9613	eV/atom

No. 2
Below is a geometry-optimized CdMo2Au structure, with properties calculated at the PBE level.

Geometry as POSCAR:
```
CdMo2Au
1.0
2.751 0.000 0.000
0.000 4.517 0.000
0.000 0.000 5.515
Cd Mo Au
1 2 1
direct
0.000 0.000 0.000
0.500 0.500 0.259
0.500 0.500 0.741
0.000 0.000 0.500
```

space group	Pmmm, No. 47
electronic total energy	-6.12	eV/atom
crystal system	orthorhombic
ΔE_f	344	meV per atom

No. 3
Below is a geometry-optimized KNi2Hg structure, with properties calculated at the PBE level.

Geometry as POSCAR:
```
KNi2Hg
1.0
2.817 0.000 0.000
0.000 5.257 0.000
0.000 0.000 10.630
K Ni Hg
2 4 2
direct
0.000 0.000 0.000
0.500 0.500 0.500
0.000 0.000 0.477
0.000 0.500 0.798
0.500 0.000 0.298
0.500 0.500 0.977
0.000 0.500 0.201
0.500 0.000 0.701
```

space group	Imm2, No. 44
electronic total energy	-2.73	eV/atom
crystal system	orthorhombic
ΔE_f	506	meV per atom

No. 4
Below is a geometry-optimized Ho4ZnPd structure, with properties calculated at the PBE level.

Geometry as POSCAR:
```
Ho4ZnPd
1.0
0.000 6.713 6.713
6.713 0.000 6.713
6.713 6.713 0.000
Ho Zn Pd
16 4 4
direct
0.184 0.184 0.816
0.184 0.816 0.184
0.184 0.816 0.816
0.388 0.388 0.388
0.388 0.388 0.835
0.388 0.835 0.388
0.560 0.560 0.940
0.560 0.940 0.560
0.560 0.940 0.940
0.816 0.184 0.184
0.816 0.184 0.816
0.816 0.816 0.184
0.835 0.388 0.388
0.940 0.560 0.560
0.940 0.560 0.940
0.940 0.940 0.560
0.168 0.168 0.168
0.168 0.168 0.497
0.168 0.497 0.168
0.497 0.168 0.168
0.193 0.602 0.602
0.602 0.193 0.602
0.602 0.602 0.193
0.602 0.602 0.602
```

energy above the most stable polymorph in this dataset	0.00	kcal/mol of atoms
space group	F-43m, No. 216
electronic total energy	-4.56	eV/atom
crystal system	cubic
ΔE_f	-433	meV per atom

No. 5
Below is a geometry-optimized CaCoP structure, with properties calculated at the PBE level.

Geometry as POSCAR:
```
CaCoP
1.0
3.104 0.000 0.000
0.000 3.104 0.000
0.000 0.000 10.230
Ca Co P
2 2 2
direct
0.000 0.000 0.000
0.500 0.500 0.500
0.000 0.000 0.718
0.500 0.500 0.218
0.000 0.000 0.294
0.500 0.500 0.794
```

space group	I4mm, No. 107
electronic total energy	-5.21	eV/atom
crystal system	tetragonal
ΔE_f	-371	meV per atom

No. 6
Below is a geometry-optimized Ho2TmPa structure, with properties calculated at the PBE level.

Geometry as POSCAR:
```
Ho2TmPa
1.0
3.409 0.000 0.000
-1.705 2.953 0.000
0.000 0.000 34.257
Ho Tm Pa
6 3 3
direct
0.000 0.000 0.000
0.000 0.000 0.163
0.333 0.667 0.667
0.333 0.667 0.829
0.667 0.333 0.333
0.667 0.333 0.496
0.000 0.000 0.581
0.333 0.667 0.248
0.667 0.333 0.915
0.000 0.000 0.747
0.333 0.667 0.414
0.667 0.333 0.081
```

energy above the most stable polymorph in this dataset	0.00	kcal/mol of atoms
space group	R3m, No. 160
electronic total energy	-5.68	eV/atom
crystal system	trigonal
ΔE_f	105	meV per atom

No. 7
Below is a geometry-optimized SrPSe structure, with properties calculated at the PBE level.

Geometry as POSCAR:
```
SrPSe
1.0
10.981 0.000 0.000
0.000 4.074 0.000
0.000 0.000 8.196
Sr P Se
4 4 4
direct
0.166 0.000 0.000
0.166 0.500 0.500
0.834 0.000 0.000
0.834 0.500 0.500
0.000 0.000 0.306
0.000 0.500 0.806
0.500 0.000 0.528
0.500 0.500 0.028
0.337 0.000 0.687
0.337 0.500 0.187
0.663 0.000 0.687
0.663 0.500 0.187
```

space group	Amm2, No. 38
electronic total energy	-4.26	eV/atom
crystal system	orthorhombic
uncorrected formation energy	-0.7366	eV/atom

No. 8
Below is a geometry-optimized RbUZnN3 structure, with properties calculated at the PBE level.

Geometry as POSCAR:
```
RbUZnN3
1.0
7.404 0.000 0.000
0.000 3.574 0.000
-3.477 0.000 8.470
Rb U Zn N
2 2 2 6
direct
0.177 0.250 0.222
0.823 0.750 0.778
0.361 0.250 0.829
0.639 0.750 0.171
0.136 0.750 0.562
0.864 0.250 0.438
0.062 0.250 0.662
0.346 0.750 0.979
0.413 0.750 0.711
0.587 0.250 0.289
0.654 0.250 0.021
0.938 0.750 0.338
```

space group	P2_1/m, No. 11
electronic total energy	-7.07	eV/atom
crystal system	monoclinic
uncorrected formation energy	-0.6563	eV/atom

No. 9
Below is a geometry-optimized PmErIr4 structure, with properties calculated at the PBE level.

Geometry as POSCAR:
```
PmErIr4
1.0
0.000 3.806 3.806
3.806 0.000 3.806
3.806 3.806 0.000
Pm Er Ir
1 1 4
direct
0.000 0.000 0.000
0.750 0.750 0.750
0.375 0.375 0.375
0.375 0.375 0.875
0.375 0.875 0.375
0.875 0.375 0.375
```

space group	F-43m, No. 216
electronic total energy	-8.23	eV/atom
crystal system	cubic
ΔE_f	-770	meV per atom

No. 10
Below is a geometry-optimized BaTi2VSe structure, with properties calculated at the PBE level.

Geometry as POSCAR:
```
BaTi2VSe
1.0
4.670 0.000 0.000
0.000 4.670 0.000
0.000 0.000 5.433
Ba Ti V Se
1 2 1 1
direct
0.000 0.000 0.000
0.000 0.500 0.500
0.500 0.000 0.500
0.500 0.500 0.500
0.500 0.500 0.000
```

space group	P4/mmm, No. 123
electronic total energy	-5.79	eV/atom
crystal system	tetragonal
uncorrected formation energy	0.2759	eV/atom

No. 11
Below is a geometry-optimized LiTm4Sc3S8 structure, with properties calculated at the PBE level.

Geometry as POSCAR:
```
LiTm4Sc3S8
1.0
3.780 2.182 6.123
-3.780 2.182 6.123
0.000 -4.364 6.123
Li Tm Sc S
1 4 3 8
direct
0.000 0.000 0.000
0.000 0.000 0.500
0.000 0.500 0.000
0.500 0.000 0.000
0.500 0.500 0.500
0.000 0.500 0.500
0.500 0.000 0.500
0.500 0.500 0.000
0.245 0.245 0.749
0.245 0.749 0.245
0.251 0.755 0.755
0.253 0.253 0.253
0.747 0.747 0.747
0.749 0.245 0.245
0.755 0.251 0.755
0.755 0.755 0.251
```

space group	R-3m, No. 166
electronic total energy	-6.38	eV/atom
crystal system	trigonal
uncorrected formation energy	-1.8918	eV/atom

No. 12
Below is a geometry-optimized KCrAsBr2 structure, with properties calculated at the PBE level.

Geometry as POSCAR:
```
KCrAsBr2
1.0
5.980 0.000 0.000
0.000 5.980 0.000
0.000 0.000 6.048
K Cr As Br
1 1 1 2
direct
0.000 0.000 0.000
0.500 0.500 0.500
0.000 0.000 0.500
0.000 0.500 0.000
0.500 0.000 0.000
```

energy above the most stable polymorph in this dataset	26.63	kcal/mol of atoms
space group	P4/mmm, No. 123
electronic total energy	-3.16	eV/atom
crystal system	tetragonal
uncorrected formation energy	0.5816	eV/atom

What did the sixth record say?
Below is a geometry-optimized Ho2TmPa structure, with properties calculated at the PBE level.

Geometry as POSCAR:
```
Ho2TmPa
1.0
3.409 0.000 0.000
-1.705 2.953 0.000
0.000 0.000 34.257
Ho Tm Pa
6 3 3
direct
0.000 0.000 0.000
0.000 0.000 0.163
0.333 0.667 0.667
0.333 0.667 0.829
0.667 0.333 0.333
0.667 0.333 0.496
0.000 0.000 0.581
0.333 0.667 0.248
0.667 0.333 0.915
0.000 0.000 0.747
0.333 0.667 0.414
0.667 0.333 0.081
```

energy above the most stable polymorph in this dataset	0.00	kcal/mol of atoms
space group	R3m, No. 160
electronic total energy	-5.68	eV/atom
crystal system	trigonal
ΔE_f	105	meV per atom